# Co2SiW

Crystalline Co2SiW at its relaxed geometry (PBE, Alexandria via LeMat-Bulk).

Results
raw formation energy: -0.14 eV per atom
N(E_F): 0.53 states/eV/atom

a b c (Å): 3.6305 3.6305 7.3793
angles (deg): 90.00 90.00 90.00
Last column: nearest neighbours and their distance in Å.
Fractional positions:
Co 0.0000 0.0000 0.0000  4 W 2.57, 4 Co 2.59, 4 Si 2.59
Co 0.0000 0.5000 0.2500  4 Si 2.57, 4 W 2.59, 4 Co 2.59
Co 0.5000 0.0000 0.7500  4 Si 2.57, 4 W 2.59, 4 Co 2.59
Co 0.5000 0.5000 0.5000  4 W 2.57, 4 Co 2.59, 4 Si 2.59
Si 0.0000 0.5000 0.7500  8 Co 2.57-2.59, 4 W 2.59
Si 0.5000 0.0000 0.2500  8 Co 2.57-2.59, 4 W 2.59
W 0.0000 0.0000 0.5000  8 Co 2.57-2.59, 4 Si 2.59
W 0.5000 0.5000 0.0000  8 Co 2.57-2.59, 4 Si 2.59

=====

# CoSi2W

Crystalline CoSi2W at its relaxed geometry (PBE, Alexandria via LeMat-Bulk).

Results
raw formation energy: 0.04 eV per atom
E above lowest polymorph: 0.2282 eV per atom
N(E_F): 0.64 states/eV/atom

a b c (Å): 3.6988 3.6988 7.5589
angles (deg): 90.00 90.00 90.00
Last column: nearest neighbours and their distance in Å.
Fractional positions:
Co 0.0000 0.0000 0.0000  4 W 2.62, 8 Si 2.64
Co 0.5000 0.5000 0.5000  4 W 2.62, 8 Si 2.64
Si 0.0000 0.5000 0.2500  4 Si 2.62, 4 W 2.64, 4 Co 2.64
Si 0.0000 0.5000 0.7500  4 Si 2.62, 4 W 2.64, 4 Co 2.64
Si 0.5000 0.0000 0.2500  4 Si 2.62, 4 W 2.64, 4 Co 2.64
Si 0.5000 0.0000 0.7500  4 Si 2.62, 4 W 2.64, 4 Co 2.64
W 0.0000 0.0000 0.5000  4 Co 2.62, 8 Si 2.64
W 0.5000 0.5000 0.0000  4 Co 2.62, 8 Si 2.64

=====

For the records above, the corresponding DFT total energy values read -8.2878; -7.6911 eV/atom.